(1)
Compound: BaNaEuMg
Source: Alexandria via LeMat-Bulk
Functional: GGA-PBE
Structure: optimized geometry

Structure (POSCAR):
```
BaNaEuMg
1.0
6.145 0.000 0.000
3.072 5.322 0.000
3.072 1.774 5.017
Eu Na Mg Ba
1 1 1 1
direct
0.500 0.500 0.500 Eu
0.750 0.750 0.750 Na
0.250 0.250 0.250 Mg
0.000 0.000 0.000 Ba
```

Computed properties:
As for the size of the total moment: 7.48 μB per formula unit. The final energy comes out at -3.76 eV per atom. As for the calculated volume: 41.0 A^3/atom. For the formation enthalpy at 0 K, the calculation gives 2 kJ per mole of atoms.

=====

(2)
Compound: PuPaTi2
Source: Alexandria via LeMat-Bulk
Functional: GGA-PBE
Structure: optimized geometry

Structure (POSCAR):
```
PuPaTi2
1.0
-1.253 2.698 -0.430
-2.635 -1.319 -0.592
-2.214 0.400 8.960
Pa Ti Pu
1 2 1
direct
0.500 0.500 0.500 Pa
0.000 0.000 0.755 Ti
0.000 0.000 0.245 Ti
0.500 0.500 0.000 Pu
```

Computed properties:
As for the size of the total moment: 4.76 μB per formula unit. The final energy comes out at -9.72 eV per atom. As for the calculated volume: 20.9 A^3/atom. For the formation enthalpy at 0 K, the calculation gives 18 kJ per mole of atoms.

=====

(3)
Compound: InAsW2
Source: Alexandria via LeMat-Bulk
Functional: GGA-PBE
Structure: optimized geometry

Structure (POSCAR):
```
InAsW2
1.0
4.649 0.000 0.000
0.000 3.034 0.014
0.000 1.492 5.104
As W In
1 2 1
direct
0.000 0.327 0.470 As
0.000 0.034 0.057 W
0.500 0.438 0.248 W
0.500 0.701 0.724 In
```

Computed properties:
As for the size of the total moment: 0.00 μB per formula unit. The final energy comes out at -7.85 eV per atom. As for the calculated volume: 18.0 A^3/atom. For the formation enthalpy at 0 K, the calculation gives 45 kJ per mole of atoms.

=====

(4)
Compound: LiHoCdHg4
Source: Alexandria via LeMat-Bulk
Functional: GGA-PBE
Structure: optimized geometry

Structure (POSCAR):
```
LiHoCdHg4
1.0
9.919 0.000 0.000
0.000 5.702 0.000
-4.960 0.000 7.484
Li Ho Cd Hg
2 2 2 8
direct
0.640 0.750 0.281 Li
0.360 0.250 0.719 Li
0.146 0.250 0.292 Ho
0.854 0.750 0.708 Ho
0.256 0.750 0.513 Cd
0.744 0.250 0.487 Cd
0.945 0.250 0.890 Hg
0.455 0.750 0.910 Hg
0.055 0.750 0.110 Hg
0.545 0.250 0.090 Hg
0.500 0.500 0.500 Hg
0.000 0.000 0.500 Hg
0.500 0.000 0.500 Hg
0.000 0.500 0.500 Hg
```

Computed properties:
As for the size of the total moment: 0.00 μB per formula unit. The final energy comes out at -1.28 eV per atom. As for the calculated volume: 30.2 A^3/atom. For the formation enthalpy at 0 K, the calculation gives -5 kJ per mole of atoms.

=====

(5)
Compound: Nd3CdCo
Source: Alexandria via LeMat-Bulk
Functional: GGA-PBE
Structure: optimized geometry

Structure (POSCAR):
```
Nd3CdCo
1.0
-1.171 -4.241 -1.941
6.511 -2.799 2.189
-5.865 -1.078 5.894
Nd Cd Co
6 2 2
direct
0.750 0.662 0.414 Nd
0.250 0.338 0.586 Nd
0.750 0.305 0.908 Nd
0.250 0.943 0.741 Nd
0.250 0.695 0.092 Nd
0.750 0.057 0.259 Nd
0.250 0.302 0.177 Cd
0.750 0.698 0.823 Cd
0.250 0.930 0.415 Co
0.750 0.070 0.585 Co
```

Computed properties:
As for the size of the total moment: 0.00 μB per formula unit. The final energy comes out at -4.58 eV per atom. As for the calculated volume: 27.9 A^3/atom. For the formation enthalpy at 0 K, the calculation gives -11 kJ per mole of atoms.

=====

(6)
Compound: MnC2SBr
Source: Alexandria via LeMat-Bulk
Functional: GGA-PBE
Structure: optimized geometry

Structure (POSCAR):
```
MnC2SBr
1.0
3.460 0.000 0.000
0.000 3.460 0.000
0.000 0.000 6.708
S Mn C Br
1 1 2 1
direct
0.000 0.000 0.000 S
0.500 0.500 0.500 Mn
0.000 0.500 0.000 C
0.500 0.000 0.000 C
0.000 0.000 0.500 Br
```

Computed properties:
As for the size of the total moment: 0.03 μB per formula unit. The final energy comes out at -4.45 eV per atom. As for the calculated volume: 16.1 A^3/atom. The uncorrected formation energy comes out at 2236 meV per atom.

=====

(7)
Compound: K2RbPuI6
Source: Alexandria via LeMat-Bulk
Functional: GGA-PBE
Structure: optimized geometry

Structure (POSCAR):
```
K2RbPuI6
1.0
8.757 0.001 0.001
4.379 7.582 0.000
4.379 2.528 7.817
K Rb Pu I
2 1 1 6
direct
0.525 0.525 0.425 K
0.012 0.012 0.963 K
0.815 0.815 0.554 Rb
0.326 0.326 0.022 Pu
0.562 0.219 0.245 I
0.219 0.974 0.245 I
0.974 0.562 0.245 I
0.408 0.688 0.772 I
0.688 0.132 0.772 I
0.132 0.408 0.772 I
```

Computed properties:
As for the size of the total moment: 5.00 μB per formula unit. The final energy comes out at -4.00 eV per atom. As for the calculated volume: 51.9 A^3/atom. The uncorrected formation energy comes out at -1316 meV per atom.

=====

(8)
Compound: Sn4F
Source: Alexandria via LeMat-Bulk
Functional: GGA-PBE
Structure: optimized geometry

Structure (POSCAR):
```
Sn4F
1.0
-2.491 4.032 1.762
-2.807 -3.015 2.931
3.388 0.465 3.724
Sn F
4 1
direct
0.000 0.000 0.000 Sn
0.500 0.000 0.500 Sn
0.000 0.500 0.500 Sn
0.500 0.500 0.000 Sn
0.500 0.500 0.500 F
```

Computed properties:
As for the size of the total moment: 0.00 μB per formula unit. The final energy comes out at -3.92 eV per atom. As for the calculated volume: 25.8 A^3/atom. The uncorrected formation energy comes out at -343 meV per atom.

=====

(9)
Compound: BaPPb4
Source: Alexandria via LeMat-Bulk
Functional: GGA-PBE
Structure: optimized geometry

Structure (POSCAR):
```
BaPPb4
1.0
-1.206 -5.059 -3.910
-5.734 -0.468 -3.039
-0.350 0.875 -6.437
Ba P Pb
1 1 4
direct
0.750 0.750 0.750 Ba
0.000 0.000 0.000 P
0.877 0.374 0.374 Pb
0.374 0.374 0.877 Pb
0.374 0.877 0.374 Pb
0.374 0.374 0.374 Pb
```

Computed properties:
As for the size of the total moment: 0.00 μB per formula unit. The final energy comes out at -3.59 eV per atom. As for the calculated volume: 32.5 A^3/atom. For the formation enthalpy at 0 K, the calculation gives 10 kJ per mole of atoms.

=====

(10)
Compound: PuSi2TcIr
Source: Alexandria via LeMat-Bulk
Functional: GGA-PBE
Structure: optimized geometry

Structure (POSCAR):
```
PuSi2TcIr
1.0
4.165 0.000 0.000
0.000 4.165 0.000
-2.082 -2.082 4.925
Pu Si Tc Ir
1 2 1 1
direct
0.000 0.000 0.000 Pu
0.626 0.626 0.253 Si
0.374 0.374 0.747 Si
0.750 0.250 0.500 Tc
0.250 0.750 0.500 Ir
```

Computed properties:
As for the size of the total moment: 5.17 μB per formula unit. The final energy comes out at -9.59 eV per atom. As for the calculated volume: 17.1 A^3/atom. The uncorrected formation energy comes out at -705 meV per atom.

=====

(11)
Compound: Mn2AsBr
Source: Alexandria via LeMat-Bulk
Functional: GGA-PBE
Structure: optimized geometry

Structure (POSCAR):
```
Mn2AsBr
1.0
-6.779 -2.020 2.012
-3.762 -5.853 2.382
5.816 4.499 0.120
As Br Mn
1 1 2
direct
0.542 0.542 0.000 As
0.282 0.782 0.500 Br
0.997 0.997 0.000 Mn
0.679 0.179 0.500 Mn
```

Computed properties:
As for the size of the total moment: 7.85 μB per formula unit. The final energy comes out at -6.19 eV per atom. As for the calculated volume: 20.7 A^3/atom. The uncorrected formation energy comes out at -26 meV per atom.

=====

(12)
Compound: Sc5Zn
Source: Alexandria via LeMat-Bulk
Functional: GGA-PBE
Structure: optimized geometry

Structure (POSCAR):
```
Sc5Zn
1.0
2.916 -5.051 0.000
2.916 5.051 0.000
0.000 0.000 5.272
Sc Zn
5 1
direct
0.000 0.500 0.500 Sc
0.333 0.667 0.000 Sc
0.500 0.000 0.500 Sc
0.500 0.500 0.500 Sc
0.667 0.333 0.000 Sc
0.000 0.000 0.000 Zn
```

Computed properties:
As for the size of the total moment: 0.01 μB per formula unit. The final energy comes out at -4.98 eV per atom. As for the calculated volume: 25.9 A^3/atom. For the formation enthalpy at 0 K, the calculation gives 49 kJ per mole of atoms.